Entry 1:
Density functional theory data (PBE) for a geometry-optimized Ho6AlIn3 structure.

Cell lengths 5.266, 9.185, 11.575 Å; angles 107.72, 90.00, 90.00 degrees
Element x y z (fractional)
Ho 0.750 0.535 0.912
Ho 0.750 0.150 0.682
Ho 0.250 0.465 0.088
Ho 0.750 0.765 0.502
Ho 0.250 0.136 0.171
Ho 0.750 0.901 0.124
Ho 0.250 0.850 0.318
Ho 0.750 0.335 0.330
Ho 0.750 0.864 0.829
Ho 0.250 0.665 0.670
Ho 0.250 0.099 0.876
Ho 0.250 0.235 0.498
Al 0.250 0.956 0.603
Al 0.750 0.044 0.397
In 0.250 0.526 0.382
In 0.750 0.620 0.218
In 0.750 0.225 0.031
In 0.750 0.474 0.618
In 0.250 0.775 0.969
In 0.250 0.380 0.782

Properties
Magnetization = 0.00 Bohr magnetons per cell
Space group = P2_1/m
Total energy = -85.8 eV for the cell shown
Calculated formation energy = -335.6 kJ/mol of formula units
Volume = 26.7 A^3/atom


Entry 2:
Density functional theory data (PBE) for a geometry-optimized Ho5AlIn3 structure.

Cell lengths 6.557, 9.195, 9.195 Å; angles 120.00, 90.00, 90.00 degrees
Element x y z (fractional)
Ho 0.750 0.000 0.279
Ho 0.250 0.721 0.000
Ho 0.000 0.333 0.667
Ho 0.750 0.279 0.000
Ho 0.750 0.721 0.721
Ho 0.000 0.667 0.333
Ho 0.250 0.000 0.721
Ho 0.250 0.279 0.279
Ho 0.500 0.667 0.333
Ho 0.500 0.333 0.667
In 0.250 0.625 0.625
In 0.750 0.000 0.625
In 0.250 0.000 0.375
In 0.250 0.375 0.000
In 0.750 0.625 0.000
In 0.750 0.375 0.375
Al 0.000 0.000 0.000
Al 0.500 0.000 0.000

Properties
Magnetization = 0.00 Bohr magnetons per cell
Space group = P6_3/mcm
Total energy = -77.1 eV for the cell shown
Calculated formation energy = -355.5 kJ/mol of formula units
Volume = 26.7 A^3/atom


Entry 3:
Density functional theory data (PBE) for a geometry-optimized Ho4AlIn3 structure.

Cell lengths 3.755, 4.693, 11.969 Å; angles 90.00, 90.00, 90.00 degrees
Element x y z (fractional)
Al 0.500 0.500 0.076
In 0.500 0.000 0.928
In 0.000 0.500 0.578
In 0.000 0.000 0.422
Ho 0.000 0.500 0.848
Ho 0.000 0.000 0.154
Ho 0.500 0.000 0.660
Ho 0.500 0.500 0.335

Properties
Magnetization = 0.89 Bohr magnetons per cell
ΔE to the lowest computed polymorph = 39.7 meV per atom
Space group = Pmm2
Total energy = -33.4 eV for the cell shown
Calculated formation energy = -306.1 kJ/mol of formula units
Volume = 26.4 A^3/atom


Entry 4:
Density functional theory data (PBE) for a geometry-optimized HoAlIn structure.

Cell lengths 3.439, 3.439, 6.422 Å; angles 105.53, 105.53, 90.00 degrees
Element x y z (fractional)
Al 0.673 0.673 0.347
Ho 0.009 0.009 0.017
In 0.318 0.318 0.636

Properties
Magnetization = 0.00 Bohr magnetons per cell
Space group = I4mm
Total energy = -11.7 eV for the cell shown
Calculated formation energy = -62.8 kJ/mol of formula units
Volume = 23.4 A^3/atom


Entry 5:
Density functional theory data (PBE) for a geometry-optimized Ho4Al2In structure.

Cell lengths 7.121, 6.587, 8.581 Å; angles 90.00, 111.21, 90.00 degrees
Element x y z (fractional)
Al 0.789 0.750 0.033
Al 0.476 0.750 0.467
Al 0.524 0.250 0.533
Al 0.211 0.250 0.967
Ho 0.605 0.486 0.233
Ho 0.890 0.750 0.728
Ho 0.605 0.014 0.233
Ho 0.395 0.986 0.767
Ho 0.110 0.250 0.272
Ho 0.961 0.250 0.593
Ho 0.395 0.514 0.767
Ho 0.039 0.750 0.407
In 0.790 0.250 0.910
In 0.210 0.750 0.090

Properties
Magnetization = 0.00 Bohr magnetons per cell
ΔE to the lowest computed polymorph = 113.4 meV per atom
Space group = P2_1/m
Total energy = -59.1 eV for the cell shown
Calculated formation energy = -96.0 kJ/mol of formula units
Volume = 26.8 A^3/atom


Entry 6:
Density functional theory data (PBE) for a geometry-optimized Ho8Al3In2 structure.

Cell lengths 5.363, 8.164, 9.209 Å; angles 116.31, 89.97, 90.00 degrees
Element x y z (fractional)
Ho 0.500 0.606 0.788
Ho 0.000 0.898 0.796
Ho 0.000 0.102 0.204
Ho 0.001 0.320 0.640
Ho 0.999 0.680 0.360
Ho 0.500 0.818 0.212
Ho 0.500 0.182 0.788
Ho 0.500 0.394 0.212
Al 0.000 0.332 0.000
Al 0.000 0.668 0.000
Al 0.500 0.000 0.000
In 0.499 0.772 0.545
In 0.501 0.228 0.455

Properties
Magnetization = 0.00 Bohr magnetons per cell
Space group = C2/m
Total energy = -55.2 eV for the cell shown
Calculated formation energy = -183.6 kJ/mol of formula units
Volume = 27.8 A^3/atom


Entry 7:
Density functional theory data (PBE) for a geometry-optimized HoAlIn structure.

Cell lengths 3.403, 4.521, 9.572 Å; angles 90.00, 100.24, 90.00 degrees
Element x y z (fractional)
Ho 0.620 0.847 0.240
Ho 0.380 0.347 0.760
Al 0.783 0.847 0.565
Al 0.217 0.347 0.435
In 0.047 0.347 0.095
In 0.953 0.847 0.905

Properties
Magnetization = 0.00 Bohr magnetons per cell
Space group = Cmcm
Total energy = -23.2 eV for the cell shown
Calculated formation energy = -52.7 kJ/mol of formula units
Volume = 24.2 A^3/atom


Entry 8:
Density functional theory data (PBE) for a geometry-optimized HoAlIn2 structure.

Cell lengths 4.552, 4.490, 4.490 Å; angles 90.00, 90.00, 90.00 degrees
Element x y z (fractional)
Al 0.500 0.000 0.000
In 0.000 0.000 0.500
In 0.000 0.500 0.000
Ho 0.500 0.500 0.500

Properties
Magnetization = 0.00 Bohr magnetons per cell
Space group = P4/mmm
Total energy = -15.2 eV for the cell shown
Calculated formation energy = -139.9 kJ/mol of formula units
Volume = 22.9 A^3/atom


Please write out number 8 again, unchanged.
Density functional theory data (PBE) for a geometry-optimized HoAlIn2 structure.

Cell lengths 4.552, 4.490, 4.490 Å; angles 90.00, 90.00, 90.00 degrees
Element x y z (fractional)
Al 0.500 0.000 0.000
In 0.000 0.000 0.500
In 0.000 0.500 0.000
Ho 0.500 0.500 0.500

Properties
Magnetization = 0.00 Bohr magnetons per cell
Space group = P4/mmm
Total energy = -15.2 eV for the cell shown
Calculated formation energy = -139.9 kJ/mol of formula units
Volume = 22.9 A^3/atom


Repeat the seventh record exactly.
Density functional theory data (PBE) for a geometry-optimized HoAlIn structure.

Cell lengths 3.403, 4.521, 9.572 Å; angles 90.00, 100.24, 90.00 degrees
Element x y z (fractional)
Ho 0.620 0.847 0.240
Ho 0.380 0.347 0.760
Al 0.783 0.847 0.565
Al 0.217 0.347 0.435
In 0.047 0.347 0.095
In 0.953 0.847 0.905

Properties
Magnetization = 0.00 Bohr magnetons per cell
Space group = Cmcm
Total energy = -23.2 eV for the cell shown
Calculated formation energy = -52.7 kJ/mol of formula units
Volume = 24.2 A^3/atom


Question: Which of these has the lowest volume?
Answer: HoAlIn2


Question: Which of these has the highest calculated formation energy?
Answer: number 7